Material: V4CoRu2
Method: DFT, PBE
State: optimized geometry

Results
Final energy = -8.233 eV/atom
Formation enthalpy at 0 K = 434 kJ/mol of formula units

a = 4.2095 Å, b = 4.2095 Å, c = 6.8327 Å
α = 72.06°, β = 72.06°, γ = 90.00°
Sites, in units of the cell vectors:
Ru (0.3745, 0.3745, 0.2510)
Ru (0.6255, 0.6255, 0.7490)
Co (0.0000, 0.0000, 0.0000)
V (0.1902, 0.1902, 0.6197)
V (0.8098, 0.8098, 0.3803)
V (0.0000, 0.5000, 0.0000)
V (0.5000, 0.0000, 0.0000)

=====

Material: Pr8CoIr3Br4
Method: DFT, PBE
State: optimized geometry

Results
Raw formation energy = -0.989 eV per atom
Final energy = -5.903 eV/atom

a = 8.3160 Å, b = 9.2061 Å, c = 8.3165 Å
α = 116.87°, β = 120.00°, γ = 90.00°
Sites, in units of the cell vectors:
Pr (0.2274, 0.6935, 0.9664)
Pr (0.2276, 0.6938, 0.4552)
Pr (0.2677, 0.3034, 0.5353)
Pr (0.7390, 0.6935, 0.9664)
Pr (0.2610, 0.3065, 0.0336)
Pr (0.7323, 0.6966, 0.4647)
Pr (0.7724, 0.3062, 0.5448)
Pr (0.7726, 0.3065, 0.0336)
Co (0.0000, 0.5000, 0.0000)
Ir (0.5000, 0.5000, 0.0000)
Ir (0.5000, 0.5000, 0.5000)
Ir (0.0000, 0.5000, 0.5000)
Br (0.5000, 0.0000, 0.0000)
Br (0.5000, 0.0000, 0.5000)
Br (0.0000, 0.0000, 0.0000)
Br (0.0000, 0.0000, 0.5000)

=====

Material: FeHgSb2
Method: DFT, PBE
State: optimized geometry

Results
Raw formation energy = 0.109 eV per atom
Final energy = -4.144 eV/atom

a = 3.1794 Å, b = 3.1836 Å, c = 9.6773 Å
α = 70.96°, β = 90.00°, γ = 90.00°
Each line ends with the local moment (μB).
Sites, in units of the cell vectors:
Fe (0.5000, 0.2500, 0.2500)  1.28
Hg (0.5000, 0.7500, 0.7500)  0.00
Sb (0.0000, 0.9190, 0.0785)  -0.04
Sb (0.0000, 0.5810, 0.4215)  -0.04

=====

Material: CaMnCr2
Method: DFT, PBE
State: optimized geometry

Results
Final energy = -6.987 eV/atom
Formation enthalpy at 0 K = 238 kJ/mol of formula units

a = 4.6628 Å, b = 4.6628 Å, c = 4.6628 Å
α = 120.20°, β = 120.20°, γ = 89.66°
Each line ends with the local moment (μB).
Sites, in units of the cell vectors:
Cr (0.0000, 0.0000, 0.0000)  3.24
Cr (0.2500, 0.7500, 0.5000)  -3.26
Ca (0.7500, 0.2500, 0.5000)  0.04
Mn (0.5000, 0.5000, 0.0000)  3.44

=====

Material: PmSm4Dy8
Method: DFT, PBE
State: optimized geometry

Results
Final energy = -4.138 eV/atom
Formation enthalpy at 0 K = 641 kJ/mol of formula units

a = 11.0325 Å, b = 11.0325 Å, c = 7.8002 Å
α = 90.00°, β = 135.01°, γ = 120.00°
Each line ends with the local moment (μB).
Sites, in units of the cell vectors:
Pm (0.0000, 0.5000, 0.5000)  0.06
Sm (0.0000, 0.0000, 0.0000)  -0.05
Sm (0.0000, 0.5000, 0.0000)  0.13
Sm (0.5000, 0.5000, 0.0000)  0.13
Sm (0.5000, 0.0000, 0.0000)  0.13
Dy (0.5214, 0.7607, 0.2821)  0.06
Dy (0.4786, 0.2393, 0.7179)  0.06
Dy (0.4789, 0.2394, 0.2396)  0.06
Dy (0.9999, 0.2393, 0.7604)  0.06
Dy (0.5211, 0.7606, 0.7604)  0.06
Dy (0.9999, 0.7606, 0.7604)  0.06
Dy (0.0001, 0.2394, 0.2396)  0.06
Dy (0.0001, 0.7607, 0.2396)  0.06

=====

Material: In2CuOs
Method: DFT, PBE
State: optimized geometry

Results
Final energy = -4.879 eV/atom
Formation enthalpy at 0 K = 124 kJ/mol of formula units

a = 5.4458 Å, b = 5.4458 Å, c = 5.4458 Å
α = 144.02°, β = 132.69°, γ = 60.84°
Sites, in units of the cell vectors:
Cu (0.7378, 0.2378, 0.5000)
In (0.9859, 0.9859, 0.0000)
In (0.2606, 0.7606, 0.5000)
Os (0.5157, 0.5157, 0.0000)

=====

Material: BaPtBr2
Method: DFT, PBE
State: optimized geometry

Results
Raw formation energy = -0.875 eV per atom
Final energy = -3.702 eV/atom

a = 5.6775 Å, b = 5.6775 Å, c = 5.6775 Å
α = 134.53°, β = 117.49°, γ = 80.62°
Sites, in units of the cell vectors:
Br (0.9471, 0.9471, 0.0000)
Br (0.5529, 0.5529, 0.0000)
Ba (0.2500, 0.7500, 0.5000)
Pt (0.7500, 0.2500, 0.5000)

=====

Material: LiLuMgIn
Method: DFT, PBE
State: optimized geometry

Results
Final energy = -2.905 eV/atom
Formation enthalpy at 0 K = -82 kJ/mol of formula units

a = 5.0145 Å, b = 5.0145 Å, c = 5.0145 Å
α = 60.00°, β = 60.00°, γ = 60.00°
Sites, in units of the cell vectors:
Mg (0.0000, 0.0000, 0.0000)
Lu (0.5000, 0.5000, 0.5000)
Li (0.2500, 0.2500, 0.2500)
In (0.7500, 0.7500, 0.7500)